1.
An optimized crystal structure of Cs2NaScCl6. Source: the Alexandria database, functional PBEsol.

Properties
N(E_F) = 0.0 states/eV/f.u.
Energy = -4.2751 eV/atom

Unit cell a=7.360 b=7.360 c=7.360 alpha=60.00 beta=60.00 gamma=60.00
Fractional positions:
Cs  0.250  0.250  0.250
Cs  0.750  0.750  0.750
Na  0.000  0.000  0.000
Sc  0.500  0.500  0.500
Cl  0.262  0.262  0.738
Cl  0.262  0.738  0.262
Cl  0.262  0.738  0.738
Cl  0.738  0.262  0.262
Cl  0.738  0.262  0.738
Cl  0.738  0.738  0.262

***

2.
An optimized crystal structure of Cs2NaSmCl6. Source: the Alexandria database, functional PBEsol.

Properties
N(E_F) = 0.0 states/eV/f.u.
Energy = -4.1588 eV/atom

Unit cell a=7.608 b=7.608 c=7.608 alpha=60.00 beta=60.00 gamma=60.00
Fractional positions:
Cs  0.250  0.250  0.250
Cs  0.750  0.750  0.750
Na  0.000  0.000  0.000
Sm  0.500  0.500  0.500
Cl  0.253  0.253  0.747
Cl  0.253  0.747  0.253
Cl  0.253  0.747  0.747
Cl  0.747  0.253  0.253
Cl  0.747  0.253  0.747
Cl  0.747  0.747  0.253

***

3.
An optimized crystal structure of Cs2NaTbCl6. Source: the Alexandria database, functional PBEsol.

Properties
N(E_F) = 0.0 states/eV/f.u.
Energy = -4.1681 eV/atom

Unit cell a=7.548 b=7.548 c=7.548 alpha=60.00 beta=60.00 gamma=60.00
Fractional positions:
Cs  0.250  0.250  0.250
Cs  0.750  0.750  0.750
Na  0.000  0.000  0.000
Tb  0.500  0.500  0.500
Cl  0.255  0.255  0.745
Cl  0.255  0.745  0.255
Cl  0.255  0.745  0.745
Cl  0.745  0.255  0.255
Cl  0.745  0.255  0.745
Cl  0.745  0.745  0.255

***

4.
An optimized crystal structure of Cs2NaUCl6. Source: the Alexandria database, functional PBEsol.

Properties
N(E_F) = 2.9 states/eV/f.u.
Energy = -4.5304 eV/atom

Unit cell a=7.656 b=7.656 c=7.656 alpha=60.00 beta=60.00 gamma=60.00
Fractional positions:
Cs  0.250  0.250  0.250
Cs  0.750  0.750  0.750
Na  0.000  0.000  0.000
U  0.500  0.500  0.500
Cl  0.251  0.251  0.749
Cl  0.251  0.749  0.251
Cl  0.251  0.749  0.749
Cl  0.749  0.251  0.251
Cl  0.749  0.251  0.749
Cl  0.749  0.749  0.251

***

Copy entry 2 word for word.
An optimized crystal structure of Cs2NaSmCl6. Source: the Alexandria database, functional PBEsol.

Properties
N(E_F) = 0.0 states/eV/f.u.
Energy = -4.1588 eV/atom

Unit cell a=7.608 b=7.608 c=7.608 alpha=60.00 beta=60.00 gamma=60.00
Fractional positions:
Cs  0.250  0.250  0.250
Cs  0.750  0.750  0.750
Na  0.000  0.000  0.000
Sm  0.500  0.500  0.500
Cl  0.253  0.253  0.747
Cl  0.253  0.747  0.253
Cl  0.253  0.747  0.747
Cl  0.747  0.253  0.253
Cl  0.747  0.253  0.747
Cl  0.747  0.747  0.253

***

Repeat the second record exactly.
An optimized crystal structure of Cs2NaSmCl6. Source: the Alexandria database, functional PBEsol.

Properties
N(E_F) = 0.0 states/eV/f.u.
Energy = -4.1588 eV/atom

Unit cell a=7.608 b=7.608 c=7.608 alpha=60.00 beta=60.00 gamma=60.00
Fractional positions:
Cs  0.250  0.250  0.250
Cs  0.750  0.750  0.750
Na  0.000  0.000  0.000
Sm  0.500  0.500  0.500
Cl  0.253  0.253  0.747
Cl  0.253  0.747  0.253
Cl  0.253  0.747  0.747
Cl  0.747  0.253  0.253
Cl  0.747  0.253  0.747
Cl  0.747  0.747  0.253

***

What is the formula in the first record?
Cs2NaScCl6

***

What is the formula in the first record?
Cs2NaScCl6